Record 1
A plane-wave DFT calculation with PBE was carried out for a relaxed structure of Mn2Re.

```
data_Mn2Re
_chemical_formula_sum 'Mn4 Re2'
_cell_length_a 7.334
_cell_length_b 7.334
_cell_length_c 7.334
_cell_angle_alpha 153.47
_cell_angle_beta 153.47
_cell_angle_gamma 37.87
_symmetry_space_group_name_H-M 'P 1'
_symmetry_Int_Tables_number 1
loop_
_symmetry_equiv_pos_as_xyz
'x,y,z'
loop_
_atom_site_label
_atom_site_type_symbol
_atom_site_fract_x
_atom_site_fract_y
_atom_site_fract_z
Mn1 Mn 0.294 0.544 0.750
Mn2 Mn 0.456 0.706 0.750
Mn3 Mn 0.544 0.294 0.250
Mn4 Mn 0.706 0.456 0.250
Re1 Re 0.125 0.875 0.250
Re2 Re 0.875 0.125 0.750
```

- D(E_F): 8.5 states/eV per cell
- Electronic total energy: -9.634 eV per atom
- Calculated volume: 78.57 Å³/cell


Record 2
A plane-wave DFT calculation with PBE was carried out for a relaxed structure of Mn3Re4.

```
data_Mn3Re4
_chemical_formula_sum 'Mn3 Re4'
_cell_length_a 4.672
_cell_length_b 4.672
_cell_length_c 4.897
_cell_angle_alpha 90.00
_cell_angle_beta 90.00
_cell_angle_gamma 120.00
_symmetry_space_group_name_H-M 'P 1'
_symmetry_Int_Tables_number 1
loop_
_symmetry_equiv_pos_as_xyz
'x,y,z'
loop_
_atom_site_label
_atom_site_type_symbol
_atom_site_fract_x
_atom_site_fract_y
_atom_site_fract_z
Mn1 Mn 0.000 0.500 0.000
Mn2 Mn 0.500 0.000 0.000
Mn3 Mn 0.500 0.500 0.000
Re1 Re 0.000 0.000 0.254
Re2 Re 0.000 0.000 0.746
Re3 Re 0.333 0.667 0.500
Re4 Re 0.667 0.333 0.500
```

- D(E_F): 7.5 states/eV per cell
- Electronic total energy: -11.069 eV per atom
- Calculated volume: 92.57 Å³/cell
- Offset from the most stable computed form: 0.000 eV per atom


Record 3
A plane-wave DFT calculation with PBE was carried out for a relaxed structure of Mn3Re.

```
data_Mn3Re
_chemical_formula_sum 'Mn3 Re1'
_cell_length_a 4.113
_cell_length_b 4.113
_cell_length_c 4.113
_cell_angle_alpha 60.00
_cell_angle_beta 60.00
_cell_angle_gamma 60.00
_symmetry_space_group_name_H-M 'P 1'
_symmetry_Int_Tables_number 1
loop_
_symmetry_equiv_pos_as_xyz
'x,y,z'
loop_
_atom_site_label
_atom_site_type_symbol
_atom_site_fract_x
_atom_site_fract_y
_atom_site_fract_z
Mn1 Mn 0.000 0.000 0.000
Mn2 Mn 0.250 0.250 0.250
Mn3 Mn 0.750 0.750 0.750
Re1 Re 0.500 0.500 0.500
```

- D(E_F): 4.3 states/eV per cell
- Electronic total energy: -9.919 eV per atom
- Calculated volume: 49.21 Å³/cell


Record 4
A plane-wave DFT calculation with PBE was carried out for a relaxed structure of Mn5Re.

```
data_Mn5Re
_chemical_formula_sum 'Mn5 Re1'
_cell_length_a 4.849
_cell_length_b 4.849
_cell_length_c 5.979
_cell_angle_alpha 104.62
_cell_angle_beta 104.62
_cell_angle_gamma 30.81
_symmetry_space_group_name_H-M 'P 1'
_symmetry_Int_Tables_number 1
loop_
_symmetry_equiv_pos_as_xyz
'x,y,z'
loop_
_atom_site_label
_atom_site_type_symbol
_atom_site_fract_x
_atom_site_fract_y
_atom_site_fract_z
Mn1 Mn 0.000 0.000 0.000
Mn2 Mn 0.051 0.051 0.625
Mn3 Mn 0.325 0.325 0.686
Mn4 Mn 0.651 0.651 0.349
Mn5 Mn 0.705 0.705 0.936
Re1 Re 0.376 0.376 0.282
```

- D(E_F): 8.0 states/eV per cell
- Electronic total energy: -9.634 eV per atom
- Calculated volume: 69.51 Å³/cell
- Offset from the most stable computed form: 0.064 eV per atom


Record 5
A plane-wave DFT calculation with PBE was carried out for a relaxed structure of Mn3Re.

```
data_Mn3Re
_chemical_formula_sum 'Mn3 Re1'
_cell_length_a 2.622
_cell_length_b 4.159
_cell_length_c 4.440
_cell_angle_alpha 90.00
_cell_angle_beta 90.00
_cell_angle_gamma 90.00
_symmetry_space_group_name_H-M 'P 1'
_symmetry_Int_Tables_number 1
loop_
_symmetry_equiv_pos_as_xyz
'x,y,z'
loop_
_atom_site_label
_atom_site_type_symbol
_atom_site_fract_x
_atom_site_fract_y
_atom_site_fract_z
Mn1 Mn 0.000 0.000 0.000
Mn2 Mn 0.000 0.500 0.337
Mn3 Mn 0.500 0.000 0.477
Re1 Re 0.500 0.500 0.834
```

- D(E_F): 6.0 states/eV per cell
- Electronic total energy: -9.892 eV per atom
- Calculated volume: 48.42 Å³/cell


Record 6
A plane-wave DFT calculation with PBE was carried out for a relaxed structure of Mn3Re5.

```
data_Mn3Re5
_chemical_formula_sum 'Mn3 Re5'
_cell_length_a 5.371
_cell_length_b 5.371
_cell_length_c 3.805
_cell_angle_alpha 90.00
_cell_angle_beta 90.00
_cell_angle_gamma 90.79
_symmetry_space_group_name_H-M 'P 1'
_symmetry_Int_Tables_number 1
loop_
_symmetry_equiv_pos_as_xyz
'x,y,z'
loop_
_atom_site_label
_atom_site_type_symbol
_atom_site_fract_x
_atom_site_fract_y
_atom_site_fract_z
Mn1 Mn 0.000 0.000 0.000
Mn2 Mn 0.249 0.751 0.500
Mn3 Mn 0.751 0.249 0.500
Re1 Re 0.000 0.500 0.000
Re2 Re 0.239 0.239 0.500
Re3 Re 0.500 0.000 0.000
Re4 Re 0.500 0.500 0.000
Re5 Re 0.761 0.761 0.500
```

- D(E_F): 6.0 states/eV per cell
- Electronic total energy: -11.137 eV per atom
- Calculated volume: 109.75 Å³/cell
- Offset from the most stable computed form: 0.008 eV per atom


Record 7
A plane-wave DFT calculation with PBE was carried out for a relaxed structure of MnRe5.

```
data_MnRe5
_chemical_formula_sum 'Mn1 Re5'
_cell_length_a 5.062
_cell_length_b 5.062
_cell_length_c 4.587
_cell_angle_alpha 90.00
_cell_angle_beta 90.00
_cell_angle_gamma 120.00
_symmetry_space_group_name_H-M 'P 1'
_symmetry_Int_Tables_number 1
loop_
_symmetry_equiv_pos_as_xyz
'x,y,z'
loop_
_atom_site_label
_atom_site_type_symbol
_atom_site_fract_x
_atom_site_fract_y
_atom_site_fract_z
Mn1 Mn 0.000 0.000 0.000
Re1 Re 0.000 0.500 0.500
Re2 Re 0.333 0.667 0.000
Re3 Re 0.500 0.000 0.500
Re4 Re 0.500 0.500 0.500
Re5 Re 0.667 0.333 0.000
```

- D(E_F): 4.7 states/eV per cell
- Electronic total energy: -11.323 eV per atom
- Calculated volume: 101.78 Å³/cell
- Offset from the most stable computed form: 0.536 eV per atom


Record 8
A plane-wave DFT calculation with PBE was carried out for a relaxed structure of Mn5Re3.

```
data_Mn5Re3
_chemical_formula_sum 'Mn5 Re3'
_cell_length_a 5.220
_cell_length_b 5.220
_cell_length_c 3.759
_cell_angle_alpha 90.00
_cell_angle_beta 90.00
_cell_angle_gamma 91.29
_symmetry_space_group_name_H-M 'P 1'
_symmetry_Int_Tables_number 1
loop_
_symmetry_equiv_pos_as_xyz
'x,y,z'
loop_
_atom_site_label
_atom_site_type_symbol
_atom_site_fract_x
_atom_site_fract_y
_atom_site_fract_z
Mn1 Mn 0.000 0.000 0.000
Mn2 Mn 0.000 0.500 0.000
Mn3 Mn 0.248 0.248 0.500
Mn4 Mn 0.500 0.000 0.000
Mn5 Mn 0.752 0.752 0.500
Re1 Re 0.241 0.759 0.500
Re2 Re 0.500 0.500 0.000
Re3 Re 0.759 0.241 0.500
```

- D(E_F): 7.0 states/eV per cell
- Electronic total energy: -10.338 eV per atom
- Calculated volume: 102.39 Å³/cell
- Offset from the most stable computed form: 0.000 eV per atom


Record 9
A plane-wave DFT calculation with PBE was carried out for a relaxed structure of Mn24Re5.

```
data_Mn24Re5
_chemical_formula_sum 'Mn24 Re5'
_cell_length_a 7.558
_cell_length_b 7.558
_cell_length_c 7.558
_cell_angle_alpha 109.47
_cell_angle_beta 109.47
_cell_angle_gamma 109.47
_symmetry_space_group_name_H-M 'P 1'
_symmetry_Int_Tables_number 1
loop_
_symmetry_equiv_pos_as_xyz
'x,y,z'
loop_
_atom_site_label
_atom_site_type_symbol
_atom_site_fract_x
_atom_site_fract_y
_atom_site_fract_z
Mn1 Mn 0.000 0.194 0.375
Mn2 Mn 0.000 0.375 0.194
Mn3 Mn 0.000 0.389 0.677
Mn4 Mn 0.000 0.677 0.389
Mn5 Mn 0.180 0.806 0.806
Mn6 Mn 0.194 0.000 0.375
Mn7 Mn 0.194 0.375 0.000
Mn8 Mn 0.287 0.611 0.611
Mn9 Mn 0.323 0.323 0.713
Mn10 Mn 0.323 0.713 0.323
Mn11 Mn 0.375 0.000 0.194
Mn12 Mn 0.375 0.194 0.000
Mn13 Mn 0.389 0.000 0.677
Mn14 Mn 0.389 0.677 0.000
Mn15 Mn 0.611 0.287 0.611
Mn16 Mn 0.611 0.611 0.287
Mn17 Mn 0.625 0.625 0.820
Mn18 Mn 0.625 0.820 0.625
Mn19 Mn 0.677 0.000 0.389
Mn20 Mn 0.677 0.389 0.000
Mn21 Mn 0.713 0.323 0.323
Mn22 Mn 0.806 0.180 0.806
Mn23 Mn 0.806 0.806 0.180
Mn24 Mn 0.820 0.625 0.625
Re1 Re 0.000 0.000 0.000
Re2 Re 0.000 0.000 0.634
Re3 Re 0.000 0.634 0.000
Re4 Re 0.366 0.366 0.366
Re5 Re 0.634 0.000 0.000
```

- D(E_F): 27.2 states/eV per cell
- Electronic total energy: -9.805 eV per atom
- Calculated volume: 332.37 Å³/cell


Record 10
A plane-wave DFT calculation with PBE was carried out for a relaxed structure of Mn2Re.

```
data_Mn2Re
_chemical_formula_sum 'Mn8 Re4'
_cell_length_a 5.733
_cell_length_b 5.733
_cell_length_c 5.733
_cell_angle_alpha 90.00
_cell_angle_beta 90.00
_cell_angle_gamma 90.00
_symmetry_space_group_name_H-M 'P 1'
_symmetry_Int_Tables_number 1
loop_
_symmetry_equiv_pos_as_xyz
'x,y,z'
loop_
_atom_site_label
_atom_site_type_symbol
_atom_site_fract_x
_atom_site_fract_y
_atom_site_fract_z
Mn1 Mn 0.123 0.123 0.123
Mn2 Mn 0.123 0.377 0.623
Mn3 Mn 0.377 0.623 0.123
Mn4 Mn 0.377 0.877 0.623
Mn5 Mn 0.623 0.123 0.377
Mn6 Mn 0.623 0.377 0.877
Mn7 Mn 0.877 0.623 0.377
Mn8 Mn 0.877 0.877 0.877
Re1 Re 0.000 0.000 0.500
Re2 Re 0.000 0.500 0.000
Re3 Re 0.500 0.000 0.000
Re4 Re 0.500 0.500 0.500
```

- D(E_F): 11.4 states/eV per cell
- Electronic total energy: -9.130 eV per atom
- Calculated volume: 188.41 Å³/cell


Summary of DFT formation energy in eV per atom
0.629; -0.026; 0.070; 0.082; 0.097; 0.081; 0.578; 0.061; -0.070; 1.133
(order as listed above)